{"formula": "FeSnNF2", "functional": "PBE+U", "state": "optimized geometry", "cell": [[4.084, 0.000, 0.000], [0.000, 4.084, 0.000], [0.000, 0.000, 4.066]], "species": ["Fe", "Sn", "N", "F", "F"], "fractional_positions": [[0.000, 0.000, 0.000], [0.500, 0.500, 0.500], [0.000, 0.000, 0.500], [0.000, 0.500, 0.000], [0.500, 0.000, 0.000]], "mass_density_kg_m3": 5549, "relative_energy_ev_per_atom": 0.000, "magnetic_moment_mub_per_fu": 5.0, "vol_a3_per_atom": 13.56}